# Rb2MnBF6, relaxed, DFT GGA+U
data_Rb2MnBF6
_cell_length_a 6.070
_cell_length_b 6.070
_cell_length_c 6.070
_cell_angle_alpha 120.48
_cell_angle_beta 120.48
_cell_angle_gamma 89.17
_space_group_name_H-M_alt 'P 1'
_space_group_IT_number 1
_space_group_name_Hall 'P 1'
loop_
_atom_site_label
_atom_site_type_symbol
_atom_site_fract_x
_atom_site_fract_y
_atom_site_fract_z
Rb1 Rb 0.250 0.750 0.500
Rb2 Rb 0.750 0.250 0.500
Mn1 Mn 0.000 0.000 0.000
B1 B 0.500 0.500 0.000
F1 F 0.261 0.261 0.000
F2 F 0.318 0.318 0.636
F3 F 0.318 0.682 0.000
F4 F 0.682 0.318 0.000
F5 F 0.682 0.682 0.364
F6 F 0.739 0.739 0.000
# - Space group: I4/mmm, No. 139
# - E: -4.93 eV per atom